3
Lattice="-1.8925 1.0566 -2.7087 -0.7052 -3.3023 -0.7955 -3.0245 1.3017 4.8424" Properties=species:S:1:pos:R:3 comment="GdCdRu PBE relaxed" n_ef_per_ev_atom=0.70 spacegroup="No. 107" delta_e_f_mev_per_atom=-97.9 total_magnetization_mub_per_cell=7.16 pbc="T T T"
Ru -2.4410 0.1010 1.7448
Gd -5.0071 -0.9695 0.8986
Cd -2.4992 -1.0732 -0.8941